Entry from Alexandria: an optimized crystal structure of Rb2TcAsF6 (PBE).

## Properties
- space-group type = I4/mmm
- formation energy without anion corrections (eV/atom) = -1.925
- calculated volume (A^3/atom) = 19.5
- size of the total moment (μB/atom) = 0.200
- theoretical density (g cm⁻³) = 3.9

a = 6.9021 Å, b = 6.9021 Å, c = 6.9021 Å
α = 128.74°, β = 128.74°, γ = 75.43°
Closest atoms and distances in Å follow each position.
Fractional coordinates of all 10 atoms:
1 Rb 0.2500 0.7500 0.5000  4 F 3.07
2 Rb 0.7500 0.2500 0.5000  4 F 3.07
3 Tc 0.0000 0.0000 0.0000  6 F 2.00-2.08
4 As 0.5000 0.5000 0.0000  4 F 2.14
5 F 0.1828 0.1828 0.0000  1 Tc 2.00
6 F 0.2461 0.2461 0.4922  1 Tc 2.08, 1 As 2.14
7 F 0.2461 0.7539 0.0000  1 Tc 2.08, 1 As 2.14
8 F 0.7539 0.2461 0.0000  1 Tc 2.08, 1 As 2.14
9 F 0.7539 0.7539 0.5078  1 Tc 2.08, 1 As 2.14
10 F 0.8172 0.8172 0.0000  1 Tc 2.00